Compound: CaTlFe2F8
Source: Alexandria
Functional: PBE+U
Structure: relaxed

Values from the calculation:
Density ... 3.6 g cm⁻³
Total DFT energy (no corrections) ... -5.09 eV/atom

abc: 5.863 5.863 7.969
angles: 90.00 90.00 120.00
Fractional coordinates of all 12 atoms:
Ca: 0.000 0.000 0.000
Tl: 0.000 0.000 0.500
Fe: 0.333 0.667 0.273
Fe: 0.667 0.333 0.727
F: 0.093 0.327 0.185
F: 0.233 0.907 0.185
F: 0.327 0.233 0.815
F: 0.333 0.667 0.507
F: 0.667 0.333 0.493
F: 0.673 0.767 0.185
F: 0.767 0.093 0.815
F: 0.907 0.673 0.815